No. 1
VASP calculation (PBE) on a geometry-optimized InW2Cl structure.

Calculated values
* total energy: -29.82 eV for the cell shown
* offset from the most stable computed form: 0.000 eV per atom
* formation energy (no corrections): 0.168 eV per atom

a = 3.3001 Å, b = 3.0851 Å, c = 8.4791 Å
α = 90.00°, β = 100.76°, γ = 90.00°
Fractional coordinates of all 4 atoms:
In 0.0000 0.0000 0.0000
W 0.1897 0.0000 0.3959
W 0.6075 0.5000 0.2234
Cl 0.3020 0.5000 0.6286

No. 2
VASP calculation (PBE) on a geometry-optimized InW2Cl structure.

Calculated values
* total energy: -29.04 eV for the cell shown
* offset from the most stable computed form: 0.194 eV per atom
* formation energy (no corrections): 0.362 eV per atom

a = 2.9778 Å, b = 2.9778 Å, c = 9.9870 Å
α = 90.00°, β = 90.00°, γ = 113.85°
Fractional coordinates of all 4 atoms:
In 0.0000 0.0000 0.0000
W 0.0000 0.0000 0.4574
W 0.5000 0.5000 0.2593
Cl 0.5000 0.5000 0.6603

Q: Number 2 is which compound?
A: InW2Cl

Q: What is the formation energy (no corrections) in the second record?
A: 0.362 eV per atom

Q: Number 2 is which compound?
A: InW2Cl